No. 1
Below is a geometry-optimized HfZr2TlSi structure, with properties calculated at the PBE level.

a b c (Å): 5.3447 5.3447 4.7701
angles (deg): 90.00 90.00 90.00
Closest atoms and distances in Å follow each position.
Element x y z (fractional)
1 Hf 0.0000 0.0000 0.0000  8 Zr 3.58, 4 Si 3.78
2 Zr 0.0000 0.5000 0.5000  2 Tl 2.67
3 Zr 0.5000 0.0000 0.5000  2 Tl 2.67
4 Tl 0.5000 0.5000 0.5000  2 Si 2.39
5 Si 0.5000 0.5000 0.0000  2 Tl 2.39

Results
As for the crystal system: tetragonal. For the uncorrected formation energy, the calculation gives 1.354 eV/atom. For the density of states at the Fermi level, the calculation gives 8.04 states/eV/cell. Its relative energy among the computed polymorphs is 1.294 eV per atom.



No. 2
Below is a geometry-optimized BaReNO2 structure, with properties calculated at the PBE level.

a b c (Å): 4.0947 4.0947 3.9684
angles (deg): 90.00 90.00 90.00
Closest atoms and distances in Å follow each position.
Element x y z (fractional)
1 Ba 0.0000 0.0000 0.0000  8 O 2.85, 4 N 2.90
2 Re 0.5000 0.5000 0.5000  2 N 1.98, 4 O 2.05
3 N 0.5000 0.5000 0.0000  2 Re 1.98
4 O 0.0000 0.5000 0.5000  2 Re 2.05
5 O 0.5000 0.0000 0.5000  2 Re 2.05

Results
As for the crystal system: tetragonal. For the uncorrected formation energy, the calculation gives -1.470 eV/atom. For the density of states at the Fermi level, the calculation gives 3.38 states/eV/cell.